# PBE-GGA MgHg2PbF8, optimized geometry
data_MgHg2PbF8
_chemical_formula_sum 'Mg1 Hg2 Pb1 F8'
_symmetry_space_group_name_H-M 'P 1 2/m 1'
_symmetry_Int_Tables_number 10
_cell_length_a 4.790
_cell_length_b 7.350
_cell_length_c 5.417
_cell_angle_alpha 90.00
_cell_angle_beta 90.28
_cell_angle_gamma 90.00
loop_
_symmetry_equiv_pos_as_xyz
'x,y,z'
'-x,-y,-z'
'-x,y,-z'
'x,-y,z'
loop_
_atom_site_label
_atom_site_type_symbol
_atom_site_fract_x
_atom_site_fract_y
_atom_site_fract_z
_atom_site_occupancy
Mg1 Mg 0.000 0.000 0.000 1
Hg1 Hg 0.500 0.233 0.500 1
Pb1 Pb 0.000 0.500 0.000 1
F1 F 0.147 0.212 0.211 1
F2 F 0.322 0.000 0.756 1
F3 F 0.408 0.500 0.737 1
# Formation energy without anion corrections, eV/atom: -2.160
# ρ, Mg/m³: 6.8
# Energy, eV per cell: -46.80